[1]
Here is a relaxed Cs4Pr3RhO8 crystal from the Alexandria database. Energies are from PBE.

Cell: 7.2623 7.2623 20.6286 Å, 90.00 90.00 120.00°
Space group R-3m (No. 166, hexagonal axes)
Symmetry-distinct sites (fractional):
Cs1 0.0000 0.0000 0.0000 [3 per cell]
Cs2 0.0000 0.5000 0.0000 [9 per cell]
Pr1 0.0000 0.5000 0.5000 [9 per cell]
Rh1 0.0000 0.0000 0.5000 [3 per cell]
O1 0.0000 0.0000 0.2241 [6 per cell]
O2 0.0200 0.5100 0.2227 [18 per cell]

- E_form (uncorrected) (meV/atom) = -1972
- magnetization (μB/atom) = 0.00

---

[2]
Here is a relaxed ThCoCu crystal from the Alexandria database. Energies are from PBE.

Cell: 3.622 3.622 8.612 Å, 90.00 90.00 90.00°
Space group I4mm (No. 107)
Symmetry-distinct sites (fractional):
Th1 0.000 0.000 0.000 [2 per cell]
Co1 0.000 0.000 0.356 [2 per cell]
Cu1 0.000 0.000 0.678 [2 per cell]

- calculated formation energy (meV per atom) = 60
- magnetization (μB/atom) = 0.00

---

What is the formula in the second record? ThCoCu

---

What is the formula in the first record? Cs4Pr3RhO8

---

What is the magnetization in the first record? 0.00 μB/atom